Record 1
DFT (GGA-PBE) results for an optimized crystal structure of Nb2Cd2O5.

```
Nb2Cd2O5
1.0
3.4672 0.0000 0.0000
0.0000 3.4672 0.0000
0.0000 0.0000 10.0060
Nb Cd O
2 2 5
direct
0.0000 0.0000 0.0000
0.0000 0.0000 0.5000
0.5000 0.5000 0.2372
0.5000 0.5000 0.7628
0.0000 0.5000 0.3798
0.0000 0.5000 0.6202
0.5000 0.0000 0.3798
0.5000 0.0000 0.6202
0.5000 0.5000 0.0000
```

## Properties
total magnetic moment	2.7	Bohr magnetons per cell
electronic total energy	-6.231	eV/atom



Record 2
DFT (GGA-PBE) results for an optimized crystal structure of Nb2Cd2O5.

```
Nb2Cd2O5
1.0
4.0465 0.0000 0.0000
0.0000 4.0465 0.0000
0.0000 0.0000 7.3853
Nb Cd O
2 2 5
direct
0.0000 0.0000 0.2246
0.0000 0.0000 0.7754
0.5000 0.5000 0.0000
0.5000 0.5000 0.5000
0.0000 0.0000 0.5000
0.0000 0.5000 0.2078
0.0000 0.5000 0.7922
0.5000 0.0000 0.2078
0.5000 0.0000 0.7922
```

## Properties
total magnetic moment	0.0	Bohr magnetons per cell
electronic total energy	-6.683	eV/atom



Record 3
DFT (GGA-PBE) results for an optimized crystal structure of NbCd2O4.

```
NbCd2O4
1.0
5.7066 0.0000 0.0000
0.0000 10.2089 0.0000
0.0000 0.0000 3.0828
Nb Cd O
2 4 8
direct
0.0000 0.0000 0.0000
0.5000 0.5000 0.0000
0.0560 0.3257 0.5000
0.4440 0.8257 0.5000
0.5560 0.1743 0.5000
0.9440 0.6743 0.5000
0.1313 0.8161 0.0000
0.2363 0.0466 0.5000
0.2637 0.5466 0.5000
0.3687 0.3161 0.0000
0.6313 0.6839 0.0000
0.7363 0.4534 0.5000
0.7637 0.9534 0.5000
0.8687 0.1839 0.0000
```

## Properties
total magnetic moment	0.1	Bohr magnetons per cell
electronic total energy	-6.116	eV/atom



Record 4
DFT (GGA-PBE) results for an optimized crystal structure of Nb2CdO4.

```
Nb2CdO4
1.0
0.0000 4.5177 4.5177
4.5177 0.0000 4.5177
4.5177 4.5177 0.0000
Nb Cd O
4 2 8
direct
0.0000 0.0000 0.0000
0.0000 0.0000 0.5000
0.0000 0.5000 0.0000
0.5000 0.0000 0.0000
0.3750 0.3750 0.3750
0.6250 0.6250 0.6250
0.2186 0.7605 0.7605
0.2395 0.2395 0.2395
0.2395 0.2395 0.7814
0.2395 0.7814 0.2395
0.7605 0.2186 0.7605
0.7605 0.7605 0.2186
0.7605 0.7605 0.7605
0.7814 0.2395 0.2395
```

## Properties
total magnetic moment	0.0	Bohr magnetons per cell
electronic total energy	-7.509	eV/atom